# NaCdTc3 PBE relaxed
data_NaCdTc3
_symmetry_space_group_name_H-M 'P m -3 m'
_symmetry_Int_Tables_number 221
_symmetry_space_group_name_Hall '-P 4 2 3'
_cell_length_a 4.568
_cell_length_b 4.568
_cell_length_c 4.568
_cell_angle_alpha 90.00
_cell_angle_beta 90.00
_cell_angle_gamma 90.00
loop_
_atom_site_label
_atom_site_type_symbol
_atom_site_fract_x
_atom_site_fract_y
_atom_site_fract_z
Na1 Na 0.000 0.000 0.000
Cd1 Cd 0.500 0.500 0.500
Tc1 Tc 0.000 0.000 0.500
# E_form, eV/atom: 2.38
# Crystal system: cubic
# Magnetic moment, μB per cell: 4.75
# ρ, g/cm³: 7.48
# Total energy, eV per cell: -21.45
# N(E_F), states/eV per atom: 1.0652